{
  "formula": "TaTi2Re",
  "functional": "PBE-GGA",
  "state": "optimized geometry",
  "ef_ev_per_atom": -0.11,
  "e_tot_ha_per_atom": -0.3723,
  "cell": [[4.4915, 0.0000, 0.0000], [0.0000, 4.4915, 0.0000], [0.0000, 0.0000, 3.2148]],
  "species": ["Ta", "Ti", "Ti", "Re"],
  "frac_coords": [[0.0000, 0.0000, 0.0000], [0.0000, 0.5000, 0.5000], [0.5000, 0.0000, 0.5000], [0.5000, 0.5000, 0.0000]]
}

{
  "formula": "HoTaSn2",
  "functional": "PBE-GGA",
  "state": "optimized geometry",
  "ef_ev_per_atom": 0.32,
  "e_tot_ha_per_atom": -0.2127,
  "cell": [[1.5975, 0.9223, 11.1786], [-1.5975, 0.9223, 11.1786], [0.0000, -1.8446, 11.1786]],
  "species": ["Ho", "Ta", "Sn", "Sn"],
  "frac_coords": [[0.0000, 0.0000, 0.0000], [0.5000, 0.5000, 0.5000], [0.4150, 0.4150, 0.4150], [0.5850, 0.5850, 0.5850]]
}

{
  "formula": "Ge2RuRh2",
  "functional": "PBE-GGA",
  "state": "optimized geometry",
  "relative_energy_mev_per_atom": 0,
  "ef_ev_per_atom": -0.21,
  "e_tot_ha_per_atom": -0.2517,
  "cell": [[7.1438, 0.0000, 0.0000], [0.0000, 7.1438, 0.0000], [0.0000, 0.0000, 2.8561]],
  "species": ["Ge", "Ge", "Ge", "Ge", "Ru", "Ru", "Rh", "Rh", "Rh", "Rh"],
  "frac_coords": [[0.1558, 0.3442, 0.0000], [0.3442, 0.8442, 0.0000], [0.6558, 0.1558, 0.0000], [0.8442, 0.6558, 0.0000], [0.0000, 0.0000, 0.0000], [0.5000, 0.5000, 0.0000], [0.1439, 0.6439, 0.5000], [0.3561, 0.1439, 0.5000], [0.6439, 0.8561, 0.5000], [0.8561, 0.3561, 0.5000]]
}

{
  "formula": "Li3Ag6Pb",
  "functional": "PBE-GGA",
  "state": "optimized geometry",
  "ef_ev_per_atom": -0.04,
  "e_tot_ha_per_atom": -0.0991,
  "cell": [[5.0991, -6.8391, 0.0000], [5.0991, 6.8391, 0.0000], [0.0000, 0.0000, 5.4330]],
  "species": ["Li", "Li", "Li", "Li", "Li", "Li", "Ag", "Ag", "Ag", "Ag", "Ag", "Ag", "Ag", "Ag", "Ag", "Ag", "Ag", "Ag", "Pb", "Pb"],
  "frac_coords": [[0.1163, 0.8837, 0.5000], [0.2101, 0.3910, 0.8629], [0.3910, 0.2101, 0.3629], [0.6090, 0.7899, 0.8629], [0.7899, 0.6090, 0.3629], [0.8837, 0.1163, 0.0000], [0.0327, 0.4666, 0.2500], [0.0843, 0.1917, 0.4812], [0.1917, 0.0843, 0.9812], [0.2415, 0.7585, 0.0292], [0.4661, 0.5339, 0.1537], [0.4666, 0.0327, 0.7500], [0.5334, 0.9673, 0.2500], [0.5339, 0.4661, 0.6537], [0.7585, 0.2415, 0.5292], [0.8083, 0.9157, 0.4812], [0.9157, 0.8083, 0.9812], [0.9673, 0.5334, 0.7500], [0.3236, 0.6764, 0.5362], [0.6764, 0.3236, 0.0362]]
}

{
  "formula": "CaCu4Pt",
  "functional": "PBE-GGA",
  "state": "optimized geometry",
  "ef_ev_per_atom": -0.25,
  "e_tot_ha_per_atom": -0.1587,
  "cell": [[0.0000, 3.5394, 3.5394], [3.5394, 0.0000, 3.5394], [3.5394, 3.5394, 0.0000]],
  "species": ["Ca", "Cu", "Cu", "Cu", "Cu", "Pt"],
  "frac_coords": [[0.0000, 0.0000, 0.0000], [0.3758, 0.3758, 0.3758], [0.3758, 0.3758, 0.8726], [0.3758, 0.8726, 0.3758], [0.8726, 0.3758, 0.3758], [0.7500, 0.7500, 0.7500]]
}

{
  "formula": "Pr2Nd3Te5",
  "functional": "PBE-GGA",
  "state": "optimized geometry",
  "formation_energy_uncorrected_ev_per_fu": -13.57,
  "e_tot_ha_per_atom": -0.1953,
  "cell": [[8.0958, -2.1597, 0.0000], [8.0958, 2.1597, 0.0000], [-6.7342, 0.0000, 9.3529]],
  "species": ["Pr", "Pr", "Nd", "Nd", "Nd", "Te", "Te", "Te", "Te", "Te"],
  "frac_coords": [[0.1552, 0.1552, 0.2486], [0.8448, 0.8448, 0.7514], [0.0000, 0.0000, 0.5000], [0.3797, 0.3797, 0.1288], [0.6203, 0.6203, 0.8712], [0.2156, 0.2156, 0.7912], [0.3887, 0.3887, 0.5779], [0.5000, 0.5000, 0.0000], [0.6113, 0.6113, 0.4221], [0.7844, 0.7844, 0.2088]]
}

Number 1: total magnetization 0.00 μB per cell. Number 2: total magnetization 0.00 μB per cell. Number 3: total magnetization 1.46 μB per cell. Number 4: total magnetization 0.00 μB per cell. Number 5: total magnetization 0.00 μB per cell. Number 6: total magnetization 0.00 μB per cell.